1.
{
  "formula": "Te8P2Pd3",
  "functional": "PBE-GGA",
  "state": "optimized geometry",
  "lattice_angstrom": [[7.968, 0.000, 0.000], [-3.984, 6.900, 0.000], [0.000, 0.000, 7.851]],
  "species": ["P", "Te", "Te", "Te", "P", "Pd", "Te", "Te", "Te", "Pd", "Te", "Pd", "Te"],
  "fractional_positions": [[0.667, 0.333, 0.361], [0.355, 0.178, 0.182], [0.667, 0.333, 0.661], [0.178, 0.822, 0.818], [0.333, 0.667, 0.639], [0.500, 0.000, 0.000], [0.822, 0.645, 0.182], [0.333, 0.667, 0.339], [0.822, 0.178, 0.182], [0.000, 0.500, 0.000], [0.645, 0.822, 0.818], [0.500, 0.500, 0.000], [0.178, 0.355, 0.818]],
  "volume_a3_per_cell": 431.6
}

2.
{
  "formula": "ThP2Pd",
  "functional": "PBE-GGA",
  "state": "optimized geometry",
  "lattice_angstrom": [[4.046, 0.000, 0.000], [0.000, 4.047, 0.000], [-2.022, -2.023, 4.868]],
  "species": ["P", "Th", "P", "Pd"],
  "fractional_positions": [[0.836, 0.496, 0.458], [0.221, 0.881, 0.228], [0.606, 0.266, 0.998], [0.471, 0.631, 0.728]],
  "volume_a3_per_cell": 79.7
}

3.
{
  "formula": "ThP2Pd4",
  "functional": "PBE-GGA",
  "state": "optimized geometry",
  "lattice_angstrom": [[7.723, 0.000, 0.000], [0.000, 7.723, 0.000], [0.000, 0.000, 3.934]],
  "species": ["Pd", "Pd", "Pd", "Pd", "P", "Th", "Pd", "P", "Th", "Pd", "P", "P", "Pd", "Pd"],
  "fractional_positions": [[0.914, 0.332, 0.500], [0.168, 0.414, 0.000], [0.086, 0.668, 0.500], [0.414, 0.168, 0.000], [0.781, 0.781, 0.500], [0.500, 0.500, 0.500], [0.332, 0.914, 0.500], [0.281, 0.719, 0.000], [0.000, 0.000, 0.000], [0.832, 0.586, 0.000], [0.219, 0.219, 0.500], [0.719, 0.281, 0.000], [0.586, 0.832, 0.000], [0.668, 0.086, 0.500]],
  "volume_a3_per_cell": 234.7
}

4.
{
  "formula": "TlP5Pd3",
  "functional": "PBE-GGA",
  "state": "optimized geometry",
  "lattice_angstrom": [[-1.812, -5.055, -1.497], [5.297, 0.704, 1.592], [-1.786, -1.289, 6.514]],
  "species": ["Pd", "P", "Pd", "P", "Pd", "P", "P", "P", "Tl"],
  "fractional_positions": [[0.000, 0.500, 0.500], [0.667, 0.333, 0.235], [0.500, 0.000, 0.500], [0.000, 0.000, 0.500], [0.500, 0.500, 0.500], [0.667, 0.333, 0.765], [0.333, 0.667, 0.235], [0.333, 0.667, 0.765], [0.000, 0.000, 0.000]],
  "volume_a3_per_cell": 185.1
}

Number 1: total DFT energy (no corrections) -52.4 eV for the cell shown. Number 2: total DFT energy (no corrections) -27.6 eV for the cell shown. Number 3: total DFT energy (no corrections) -89.7 eV for the cell shown. Number 4: total DFT energy (no corrections) -42.8 eV for the cell shown.